Density functional theory data (PBE) for crystalline LaYCo2Ge at its relaxed geometry.

Computed properties:
As for the formation energy: 1.8 eV/f.u.

Geometry as CIF:
```
data_LaYCo2Ge
_chemical_formula_sum 'La1 Y1 Co2 Ge1'
_cell_length_a 4.4937
_cell_length_b 5.1917
_cell_length_c 4.4937
_cell_angle_alpha 90.00
_cell_angle_beta 90.00
_cell_angle_gamma 90.00
_space_group_name_H-M_alt 'P 1'
_space_group_IT_number 1
loop_
_space_group_symop_operation_xyz
'x,y,z'
loop_
_atom_site_label
_atom_site_type_symbol
_atom_site_fract_x
_atom_site_fract_y
_atom_site_fract_z
Y1 Y 0.0000 0.5000 0.0000
Ge1 Ge 0.0000 0.0000 0.0000
Co1 Co 0.0000 0.0000 0.5000
Co2 Co 0.5000 0.0000 0.0000
La1 La 0.5000 0.5000 0.5000
```